# 1
TmFeNi: optimized geometry, GGA-PBE.

Values from the calculation:
* symmetry: Imma

Cell and atoms, written as POSCAR:
```
TmFeNi
1.0
5.0919 -0.1291 0.0544
-2.5967 4.3819 -0.0544
2.4799 1.4035 4.2223
Tm Fe Ni
2 2 2
Cartesian
2.4591 4.2740 1.5617
2.5160 1.3823 2.6606
2.5460 -0.0645 0.0272
-1.2983 2.1910 -0.0272
-0.0584 2.8927 2.0839
1.2476 2.1264 0.0000
```

# 2
PrAl2Cu4: optimized geometry, GGA-PBE.

Values from the calculation:
* symmetry: I4/mmm
* ΔE to the lowest computed polymorph: 0.452 eV per atom

Cell and atoms, written as POSCAR:
```
PrAl2Cu4
1.0
-3.2933 3.0852 -3.5546
0.3123 -5.7209 -0.4167
-2.3554 0.8763 5.1656
Pr Al Cu
1 2 4
Cartesian
0.0000 0.0000 0.0000
-1.7668 -3.0812 1.3816
-3.5696 1.3218 -0.1873
-2.7931 -0.4043 -1.6141
-1.9617 -2.4350 -0.8906
-3.3748 0.6756 2.0849
-2.5433 -1.3551 2.8085
```

no.,energy of formation from the pure elements (eV/atom)
1,-0.284
2,0.148